# GeBiPd6, single point on PBEsol structure, DFT meta-GGA SCAN
data_GeBiPd6
_space_group_name_H-M_alt 'P 1'
_space_group_IT_number 1
_space_group_name_Hall 'P 1'
_cell_length_a 4.462
_cell_length_b 4.462
_cell_length_c 7.731
_cell_angle_alpha 73.23
_cell_angle_beta 73.23
_cell_angle_gamma 60.00
loop_
_atom_site_label
_atom_site_type_symbol
_atom_site_fract_x
_atom_site_fract_y
_atom_site_fract_z
Pd1 Pd 0.254 0.254 0.238
Pd2 Pd 0.867 0.867 0.398
Pd3 Pd 0.614 0.614 0.159
Pd4 Pd 0.386 0.386 0.841
Pd5 Pd 0.746 0.746 0.762
Pd6 Pd 0.133 0.133 0.602
Ge1 Ge 0.500 0.500 0.500
Bi1 Bi 0.000 0.000 0.000
# ΔE_f: -0.2565 eV per atom

***

# Ge2BiPt2, single point on PBEsol structure, DFT meta-GGA SCAN
data_Ge2BiPt2
_space_group_name_H-M_alt 'P 1'
_space_group_IT_number 1
_space_group_name_Hall 'P 1'
_cell_length_a 4.015
_cell_length_b 4.015
_cell_length_c 6.525
_cell_angle_alpha 107.92
_cell_angle_beta 107.92
_cell_angle_gamma 90.00
loop_
_atom_site_label
_atom_site_type_symbol
_atom_site_fract_x
_atom_site_fract_y
_atom_site_fract_z
Bi1 Bi 0.000 0.000 0.000
Ge1 Ge 0.250 0.750 0.500
Ge2 Ge 0.750 0.250 0.500
Pt1 Pt 0.618 0.618 0.237
Pt2 Pt 0.382 0.382 0.763
# ΔE_f: -0.2504 eV per atom

***

# ReGe2BiPt, single point on PBEsol structure, DFT meta-GGA SCAN
data_ReGe2BiPt
_space_group_name_H-M_alt 'P 1'
_space_group_IT_number 1
_space_group_name_Hall 'P 1'
_cell_length_a 4.659
_cell_length_b 4.659
_cell_length_c 5.272
_cell_angle_alpha 90.00
_cell_angle_beta 90.00
_cell_angle_gamma 90.00
loop_
_atom_site_label
_atom_site_type_symbol
_atom_site_fract_x
_atom_site_fract_y
_atom_site_fract_z
Ge1 Ge 0.500 0.000 0.000
Ge2 Ge 0.000 0.500 0.000
Bi1 Bi 0.500 0.500 0.500
Re1 Re 0.000 0.000 0.500
Pt1 Pt 0.000 0.000 0.000
# ΔE_f: 0.8914 eV per atom

***

# SiGe2BiPt, single point on PBEsol structure, DFT meta-GGA SCAN
data_SiGe2BiPt
_space_group_name_H-M_alt 'P 1'
_space_group_IT_number 1
_space_group_name_Hall 'P 1'
_cell_length_a 4.656
_cell_length_b 4.656
_cell_length_c 5.739
_cell_angle_alpha 90.00
_cell_angle_beta 90.00
_cell_angle_gamma 90.00
loop_
_atom_site_label
_atom_site_type_symbol
_atom_site_fract_x
_atom_site_fract_y
_atom_site_fract_z
Pt1 Pt 0.000 0.000 0.000
Ge1 Ge 0.000 0.500 0.000
Ge2 Ge 0.500 0.000 0.000
Bi1 Bi 0.000 0.000 0.500
Si1 Si 0.500 0.500 0.500
# Formation energy from raw total energies: 547 meV/atom

***

# GeBi3Rh, single point on PBEsol structure, DFT meta-GGA SCAN
data_GeBi3Rh
_space_group_name_H-M_alt 'P 1'
_space_group_IT_number 1
_space_group_name_Hall 'P 1'
_cell_length_a 5.279
_cell_length_b 5.279
_cell_length_c 5.279
_cell_angle_alpha 90.00
_cell_angle_beta 90.00
_cell_angle_gamma 90.00
loop_
_atom_site_label
_atom_site_type_symbol
_atom_site_fract_x
_atom_site_fract_y
_atom_site_fract_z
Bi1 Bi 0.000 0.500 0.000
Bi2 Bi 0.000 0.000 0.500
Bi3 Bi 0.500 0.000 0.000
Ge1 Ge 0.000 0.000 0.000
Rh1 Rh 0.500 0.500 0.500
# ΔE_f: 1.1951 eV per atom

***

# Ge3BiRh, single point on PBEsol structure, DFT meta-GGA SCAN
data_Ge3BiRh
_space_group_name_H-M_alt 'P 1'
_space_group_IT_number 1
_space_group_name_Hall 'P 1'
_cell_length_a 5.242
_cell_length_b 5.242
_cell_length_c 5.242
_cell_angle_alpha 90.00
_cell_angle_beta 90.00
_cell_angle_gamma 90.00
loop_
_atom_site_label
_atom_site_type_symbol
_atom_site_fract_x
_atom_site_fract_y
_atom_site_fract_z
Ge1 Ge 0.000 0.000 0.500
Ge2 Ge 0.500 0.000 0.000
Ge3 Ge 0.000 0.500 0.000
Rh1 Rh 0.500 0.500 0.500
Bi1 Bi 0.000 0.000 0.000
# ΔE_f: 1.7968 eV per atom

***

# GeBi3Ru, single point on PBEsol structure, DFT meta-GGA SCAN
data_GeBi3Ru
_space_group_name_H-M_alt 'P 1'
_space_group_IT_number 1
_space_group_name_Hall 'P 1'
_cell_length_a 5.291
_cell_length_b 5.291
_cell_length_c 5.291
_cell_angle_alpha 90.00
_cell_angle_beta 90.00
_cell_angle_gamma 90.00
loop_
_atom_site_label
_atom_site_type_symbol
_atom_site_fract_x
_atom_site_fract_y
_atom_site_fract_z
Ge1 Ge 0.000 0.000 0.000
Bi1 Bi 0.000 0.000 0.500
Bi2 Bi 0.500 0.000 0.000
Bi3 Bi 0.000 0.500 0.000
Ru1 Ru 0.500 0.500 0.500
# ΔE_f: 1.3920 eV per atom

***

# GeBiRu2, single point on PBEsol structure, DFT meta-GGA SCAN
data_GeBiRu2
_space_group_name_H-M_alt 'P 1'
_space_group_IT_number 1
_space_group_name_Hall 'P 1'
_cell_length_a 4.500
_cell_length_b 4.500
_cell_length_c 4.500
_cell_angle_alpha 60.00
_cell_angle_beta 60.00
_cell_angle_gamma 60.00
loop_
_atom_site_label
_atom_site_type_symbol
_atom_site_fract_x
_atom_site_fract_y
_atom_site_fract_z
Ge1 Ge 0.000 0.000 0.000
Ru1 Ru 0.750 0.750 0.750
Ru2 Ru 0.250 0.250 0.250
Bi1 Bi 0.500 0.500 0.500
# ΔE_f: 0.3445 eV per atom

***

# Ge2BiTeS, single point on PBEsol structure, DFT meta-GGA SCAN
data_Ge2BiTeS
_space_group_name_H-M_alt 'P 1'
_space_group_IT_number 1
_space_group_name_Hall 'P 1'
_cell_length_a 4.923
_cell_length_b 4.923
_cell_length_c 5.260
_cell_angle_alpha 90.00
_cell_angle_beta 90.00
_cell_angle_gamma 90.00
loop_
_atom_site_label
_atom_site_type_symbol
_atom_site_fract_x
_atom_site_fract_y
_atom_site_fract_z
Bi1 Bi 0.500 0.500 0.500
S1 S 0.000 0.000 0.000
Ge1 Ge 0.000 0.500 0.000
Ge2 Ge 0.500 0.000 0.000
Te1 Te 0.000 0.000 0.500
# Formation energy from raw total energies: 534 meV/atom

***

# Sc2GeBi, single point on PBEsol structure, DFT meta-GGA SCAN
data_Sc2GeBi
_space_group_name_H-M_alt 'P 1'
_space_group_IT_number 1
_space_group_name_Hall 'P 1'
_cell_length_a 4.983
_cell_length_b 4.983
_cell_length_c 4.983
_cell_angle_alpha 60.00
_cell_angle_beta 60.00
_cell_angle_gamma 60.00
loop_
_atom_site_label
_atom_site_type_symbol
_atom_site_fract_x
_atom_site_fract_y
_atom_site_fract_z
Ge1 Ge 0.000 0.000 0.000
Sc1 Sc 0.250 0.250 0.250
Sc2 Sc 0.750 0.750 0.750
Bi1 Bi 0.500 0.500 0.500
# ΔE_f: -0.4522 eV per atom

***

# Si2GeBi2, single point on PBEsol structure, DFT meta-GGA SCAN
data_Si2GeBi2
_space_group_name_H-M_alt 'P 1'
_space_group_IT_number 1
_space_group_name_Hall 'P 1'
_cell_length_a 3.518
_cell_length_b 3.518
_cell_length_c 9.440
_cell_angle_alpha 100.74
_cell_angle_beta 100.74
_cell_angle_gamma 90.00
loop_
_atom_site_label
_atom_site_type_symbol
_atom_site_fract_x
_atom_site_fract_y
_atom_site_fract_z
Bi1 Bi 0.604 0.604 0.209
Bi2 Bi 0.396 0.396 0.791
Si1 Si 0.250 0.750 0.500
Si2 Si 0.750 0.250 0.500
Ge1 Ge 0.000 0.000 0.000
# Formation energy from raw total energies: 470 meV/atom

***

# SiGeBi2, single point on PBEsol structure, DFT meta-GGA SCAN
data_SiGeBi2
_space_group_name_H-M_alt 'P 1'
_space_group_IT_number 1
_space_group_name_Hall 'P 1'
_cell_length_a 8.009
_cell_length_b 6.472
_cell_length_c 8.009
_cell_angle_alpha 51.78
_cell_angle_beta 90.00
_cell_angle_gamma 128.22
loop_
_atom_site_label
_atom_site_type_symbol
_atom_site_fract_x
_atom_site_fract_y
_atom_site_fract_z
Si1 Si 0.500 0.000 0.500
Si2 Si 0.250 0.500 0.250
Bi1 Bi 0.616 0.750 0.375
Bi2 Bi 0.134 0.750 0.875
Bi3 Bi 0.875 0.250 0.616
Bi4 Bi 0.375 0.250 0.134
Ge1 Ge 0.750 0.500 0.750
Ge2 Ge 0.000 0.000 0.000
# Formation energy from raw total energies: 462 meV/atom

***

Number 1: total magnetization 0.0 μB per formula unit. Number 2: total magnetization 0.0 μB per formula unit. Number 3: total magnetization 3.3 μB per formula unit. Number 4: total magnetization 0.0 μB per formula unit. Number 5: total magnetization 0.0 μB per formula unit. Number 6: total magnetization 0.0 μB per formula unit. Number 7: total magnetization 2.2 μB per formula unit. Number 8: total magnetization 0.0 μB per formula unit. Number 9: total magnetization 0.0 μB per formula unit. Number 10: total magnetization 0.0 μB per formula unit. Number 11: total magnetization 0.0 μB per formula unit. Number 12: total magnetization 0.0 μB per formula unit.